{
  "formula": "BaPrMo2O8",
  "functional": "PBE with a Hubbard U",
  "state": "optimized geometry",
  "volume_a3_per_atom": 20.561,
  "final_energy_ev_per_cell": -87.02,
  "crystal_system": "trigonal",
  "total_magnetization_mub_per_cell": 1.00,
  "lattice_angstrom": [[6.0688, 0.0000, 0.0000], [-3.0344, 5.2557, 0.0000], [0.0000, 0.0000, 7.7354]],
  "species": ["O", "O", "O", "O", "O", "O", "O", "O", "Mo", "Mo", "Ba", "Pr"],
  "frac_coords": [[0.8334, 0.6661, 0.2916], [0.6667, 0.3333, 0.9865], [0.8326, 0.1666, 0.2916], [0.3333, 0.6667, 0.0135], [0.1674, 0.8334, 0.7084], [0.6661, 0.8326, 0.7084], [0.1666, 0.3339, 0.7084], [0.3339, 0.1674, 0.2916], [0.6667, 0.3333, 0.2169], [0.3333, 0.6667, 0.7831], [0.0000, 0.0000, 0.0000], [0.0000, 0.0000, 0.5000]]
}